Record 1
Below is NiB2HRh at its PBEsol-relaxed geometry, with properties calculated at the SCAN level.

Summary:
- symmetry = P4/mmm
- N(E_F) (states/eV/f.u.) = 2.03
- VASP energy (eV/atom) = -13.06

```
5
Lattice="3.8143 0.0000 0.0000 0.0000 3.8143 0.0000 0.0000 0.0000 2.9481" Properties=species:S:1:pos:R:3 pbc="T T T"
Ni 0.0000 0.0000 0.0000
B 0.0000 1.9072 0.0000
B 1.9072 0.0000 0.0000
H 0.0000 0.0000 1.4740
Rh 1.9072 1.9072 1.4740
```



Record 2
Below is SrNiB2H at its PBEsol-relaxed geometry, with properties calculated at the SCAN level.

Summary:
- symmetry = P4/mmm
- N(E_F) (states/eV/f.u.) = 1.42
- VASP energy (eV/atom) = -11.06

```
5
Lattice="3.6723 0.0000 0.0000 0.0000 3.6723 0.0000 0.0000 0.0000 5.8132" Properties=species:S:1:pos:R:3 pbc="T T T"
Sr 0.0000 0.0000 0.0000
Ni 0.0000 0.0000 2.9066
B 0.0000 1.8361 2.9066
B 1.8361 0.0000 2.9066
H 1.8361 1.8361 0.0000
```



Record 3
Below is RbB2P2HO9 at its PBEsol-relaxed geometry, with properties calculated at the SCAN level.

Summary:
- symmetry = P2_1/c
- N(E_F) (states/eV/f.u.) = 0.00
- VASP energy (eV/atom) = -10.15

```
60
Lattice="6.7890 0.0000 0.0000 0.0000 12.2223 0.0000 -1.1548 0.0000 8.7455" Properties=species:S:1:pos:R:3 pbc="T T T"
Rb 1.3328 1.4407 1.6261
Rb 0.7554 4.6704 5.9989
Rb 4.8788 7.5518 2.7466
Rb 4.3014 10.7816 7.1194
B -0.3223 7.7513 8.4285
B 0.2551 10.5820 4.0557
B 1.9826 7.7507 7.5124
B 2.5600 10.5827 3.1396
B 3.0742 1.6396 5.6059
B 3.6516 4.4716 1.2332
B 5.3791 1.6402 4.6898
B 5.9565 4.4709 0.3170
P 0.5957 0.4203 5.9809
P 1.1731 5.6908 1.6082
P 1.9275 8.7020 4.8701
P 2.5049 9.6314 0.4974
P 3.1293 2.5909 8.2481
P 3.7067 3.5202 3.8754
P 4.4612 6.5314 7.1374
P 5.0386 11.8019 2.7646
H 1.4555 6.5289 3.6681
H 0.8781 11.8045 8.0409
H 4.7561 0.4178 0.7046
H 4.1787 5.6934 5.0774
O -0.0761 1.6664 5.3517
O 0.5013 4.4447 0.9789
O 0.6520 6.9968 0.9765
O 0.0746 11.3366 5.3493
O 1.0738 9.1628 0.0865
O 0.4965 9.1706 4.4593
O 0.2433 0.3463 7.4775
O 0.8207 5.7648 3.1047
O 0.6759 7.2084 7.5845
O 1.2533 11.1250 3.2118
O 2.1980 7.3235 4.3194
O 1.6206 11.0099 8.6922
O 2.1201 0.5224 5.7656
O 2.6975 5.5887 1.3929
O 2.1590 8.7497 6.3989
O 2.7364 9.5837 2.0261
O 2.7075 2.4312 4.3910
O 3.2849 3.6799 0.0182
O 2.3494 8.5423 8.7273
O 2.9267 9.7911 4.3546
O 2.8979 2.6386 6.7194
O 3.4752 3.4726 2.3467
O 2.9367 6.6335 7.3527
O 3.5141 11.6999 2.9799
O 4.0136 1.2123 0.0533
O 3.4363 4.8988 4.4261
O 4.3810 1.0973 5.5338
O 4.9584 5.0139 1.1610
O 4.8136 6.4575 5.6408
O 5.3910 11.8759 1.2681
O 5.1378 3.0516 4.2862
O 4.5604 3.0595 8.6590
O 5.5597 0.8856 3.3963
O 4.9823 5.2255 7.7690
O 5.1330 7.7776 7.7666
O 5.7104 10.5558 3.3938
```



Record 4
Below is RbScBP2HO9 at its PBEsol-relaxed geometry, with properties calculated at the SCAN level.

Summary:
- symmetry = P-1
- N(E_F) (states/eV/f.u.) = 0.00
- VASP energy (eV/atom) = -10.89

```
30
Lattice="5.3332 0.0000 0.0000 1.4213 8.1930 0.0000 0.4816 0.2337 8.4687" Properties=species:S:1:pos:R:3 pbc="T T T"
Rb 1.5126 1.0662 2.7491
Rb 5.7235 7.3605 5.7196
Sc 1.8232 1.8680 6.8399
Sc 5.4129 6.5587 1.6288
B 3.2238 4.8113 6.1301
B 4.0122 3.6153 2.3386
P 3.1395 6.8172 7.9870
P 2.8521 5.8155 3.5465
P 4.3840 2.6112 4.9221
P 4.0965 1.6094 0.4816
H 1.7615 4.5438 7.4761
H 5.4746 3.8829 0.9926
O 1.3014 6.0120 0.0016
O 1.6475 6.5784 3.0097
O 2.8949 8.0488 7.0919
O 2.1977 3.9862 6.7858
O 2.5646 5.6241 5.0690
O 2.9233 4.4074 2.8874
O 3.6286 6.8881 0.6465
O 3.8376 5.7152 7.1051
O 3.0660 1.8531 5.1206
O 4.1701 6.5736 3.3481
O 3.3985 2.7115 1.3636
O 3.6075 1.5386 7.8222
O 4.3128 4.0192 5.5813
O 4.6715 2.8025 3.3997
O 5.0384 4.4405 1.6829
O 4.3412 0.3778 1.3768
O 5.5886 1.8483 5.4590
O 5.9347 2.4147 8.4671
```



> The highest VASP energy belongs to which entry?

RbB2P2HO9